A geometry-optimized NaMnF4 structure, computed with GGA+U.

Lattice parameters (Å, degrees): 5.496 5.553 5.322 90.00 90.00 90.00
Positions (direct):
Na 0.000 0.054 0.000
Na 0.500 0.946 0.500
Mn 0.000 0.500 0.464
Mn 0.500 0.500 0.964
F 0.000 0.206 0.619
F 0.000 0.794 0.307
F 0.246 0.364 0.208
F 0.254 0.636 0.708
F 0.500 0.206 0.807
F 0.500 0.794 0.119
F 0.746 0.636 0.708
F 0.754 0.364 0.208

Uncorrected energy in eV/atom: -5.290
Mass density in g/cm³: 3.1
Spin magnetization in μB/f.u.: 4.00
Space-group type: Pmn2_1, No. 31
Crystal system: orthorhombic